# 1
## LuZrFe2Ge2C (GGA-PBE)

Data for LuZrFe2Ge2C after structural relaxation. Values from VASP.

Computed properties:
- space-group type = Cm (8)
- raw total energy (eV per cell) = -52.1

Cell and atoms, written as Quantum ESPRESSO input:
```
&SYSTEM
  ibrav = 0, nat = 7, ntyp = 5
/
ATOMIC_SPECIES
C 12.01 C.upf
Lu 174.97 Lu.upf
Ge 72.64 Ge.upf
Zr 91.22 Zr.upf
Fe 55.84 Fe.upf
CELL_PARAMETERS angstrom
5.1948 -1.9099 0.0000
5.1948 1.9099 0.0000
-3.9824 0.0000 5.2580
ATOMIC_POSITIONS angstrom
C 6.4202 0.0000 5.2168
Lu 4.6528 0.0000 1.5032
Ge 7.5200 0.0000 1.6304
Ge -1.1226 0.0000 3.6548
Zr 1.7496 0.0000 3.7579
Fe 4.7007 0.0000 4.7991
Fe 1.7086 0.0000 0.4699
```

***

# 2
## NbReNiSb (GGA-PBE)

Data for NbReNiSb after structural relaxation. Values from VASP.

Computed properties:
- space-group type = F-43m (216)
- raw total energy (eV per cell) = -30.9

Cell and atoms, written as Quantum ESPRESSO input:
```
&SYSTEM
  ibrav = 0, nat = 4, ntyp = 4
/
ATOMIC_SPECIES
Nb 92.91 Nb.upf
Ni 58.69 Ni.upf
Sb 121.76 Sb.upf
Re 186.21 Re.upf
CELL_PARAMETERS angstrom
3.7399 0.7358 2.4105
-0.2213 2.3432 3.8469
0.5838 -2.0929 3.9519
ATOMIC_POSITIONS angstrom
Nb 1.0256 0.2465 2.5523
Ni 3.0768 0.7396 7.6570
Sb 0.0000 0.0000 0.0000
Re 2.0512 0.4930 5.1047
```

***

# 3
## KAcNi (GGA-PBE)

Data for KAcNi after structural relaxation. Values from VASP.

Computed properties:
- ΔE to the lowest computed polymorph (meV/atom) = 0
- space-group type = F-43m (216)

Cell and atoms, written as Quantum ESPRESSO input:
```
&SYSTEM
  ibrav = 0, nat = 3, ntyp = 3
/
ATOMIC_SPECIES
Ac 227.00 Ac.upf
Ni 58.69 Ni.upf
K 39.10 K.upf
CELL_PARAMETERS angstrom
-1.3210 1.7500 4.7055
-4.9707 -0.0731 1.4953
-1.5595 -3.3301 3.6643
ATOMIC_POSITIONS angstrom
Ac -5.8885 -1.2399 7.3988
Ni 0.0000 0.0000 0.0000
K -1.9628 -0.4133 2.4663
```

***

# 4
## AcNbOs (GGA-PBE)

Data for AcNbOs after structural relaxation. Values from VASP.

Computed properties:
- ΔE to the lowest computed polymorph (meV/atom) = 0
- space-group type = F-43m (216)
- DFT formation energy (kJ/mol of formula units) = 219

Cell and atoms, written as Quantum ESPRESSO input:
```
&SYSTEM
  ibrav = 0, nat = 3, ntyp = 3
/
ATOMIC_SPECIES
Ac 227.00 Ac.upf
Os 190.23 Os.upf
Nb 92.91 Nb.upf
CELL_PARAMETERS angstrom
0.0000 3.3007 3.3007
3.3007 0.0000 3.3007
3.3007 3.3007 0.0000
ATOMIC_POSITIONS angstrom
Ac 1.6503 1.6503 1.6503
Os 4.9510 4.9510 4.9510
Nb 0.0000 0.0000 0.0000
```

***

# 5
## Tl2NiTe (GGA-PBE)

Data for Tl2NiTe after structural relaxation. Values from VASP.

Computed properties:
- space-group type = F-43m (216)
- raw total energy (eV per cell) = -12.2

Cell and atoms, written as Quantum ESPRESSO input:
```
&SYSTEM
  ibrav = 0, nat = 4, ntyp = 3
/
ATOMIC_SPECIES
Ni 58.69 Ni.upf
Tl 204.38 Tl.upf
Te 127.60 Te.upf
CELL_PARAMETERS angstrom
2.6109 1.5074 4.2636
-2.6109 1.5074 4.2636
0.0000 -3.0148 4.2636
ATOMIC_POSITIONS angstrom
Ni 0.0000 0.0000 3.1977
Tl 0.0000 0.0000 9.5930
Tl 0.0000 0.0000 0.0000
Te 0.0000 0.0000 6.3953
```

***

# 6
## BaNbRe (GGA-PBE)

Data for BaNbRe after structural relaxation. Values from VASP.

Computed properties:
- ΔE to the lowest computed polymorph (meV/atom) = 0
- space-group type = F-43m (216)

Cell and atoms, written as Quantum ESPRESSO input:
```
&SYSTEM
  ibrav = 0, nat = 3, ntyp = 3
/
ATOMIC_SPECIES
Nb 92.91 Nb.upf
Re 186.21 Re.upf
Ba 137.33 Ba.upf
CELL_PARAMETERS angstrom
0.0000 3.3651 3.3651
3.3651 0.0000 3.3651
3.3651 3.3651 0.0000
ATOMIC_POSITIONS angstrom
Nb 5.0477 5.0477 5.0477
Re 0.0000 0.0000 0.0000
Ba 1.6826 1.6826 1.6826
```

***

# 7
## TbHoMg2Pb2 (GGA-PBE)

Data for TbHoMg2Pb2 after structural relaxation. Values from VASP.

Computed properties:
- space-group type = I4mm (107)
- raw total energy (eV per cell) = -22.2

Cell and atoms, written as Quantum ESPRESSO input:
```
&SYSTEM
  ibrav = 0, nat = 6, ntyp = 4
/
ATOMIC_SPECIES
Pb 207.20 Pb.upf
Ho 164.93 Ho.upf
Mg 24.30 Mg.upf
Tb 158.93 Tb.upf
CELL_PARAMETERS angstrom
-2.2197 2.2197 8.0005
2.2197 -2.2197 8.0005
2.2197 2.2197 -8.0005
ATOMIC_POSITIONS angstrom
Pb 0.0000 0.0000 2.2071
Pb 0.0000 0.0000 13.7977
Ho 0.0000 0.0000 5.3615
Mg 2.2197 0.0000 7.9965
Mg 0.0000 2.2197 7.9965
Tb 0.0000 0.0000 10.6436
```

***

# 8
## LiPuMg (GGA-PBE)

Data for LiPuMg after structural relaxation. Values from VASP.

Computed properties:
- ΔE to the lowest computed polymorph (meV/atom) = 0
- space-group type = F-43m (216)

Cell and atoms, written as Quantum ESPRESSO input:
```
&SYSTEM
  ibrav = 0, nat = 3, ntyp = 3
/
ATOMIC_SPECIES
Li 6.94 Li.upf
Pu 244.00 Pu.upf
Mg 24.30 Mg.upf
CELL_PARAMETERS angstrom
0.0000 3.4311 3.4311
3.4311 0.0000 3.4311
3.4311 3.4311 0.0000
ATOMIC_POSITIONS angstrom
Li 0.0000 0.0000 0.0000
Pu 5.1466 5.1466 5.1466
Mg 1.7155 1.7155 1.7155
```

***

# 9
## Hf2CIBr (GGA-PBE)

Data for Hf2CIBr after structural relaxation. Values from VASP.

Computed properties:
- space-group type = P3m1 (156)
- raw total energy (eV per cell) = -37.4

Cell and atoms, written as Quantum ESPRESSO input:
```
&SYSTEM
  ibrav = 0, nat = 5, ntyp = 4
/
ATOMIC_SPECIES
C 12.01 C.upf
Hf 178.49 Hf.upf
I 126.90 I.upf
Br 79.90 Br.upf
CELL_PARAMETERS angstrom
3.5360 0.0000 0.0000
-1.7680 3.0623 0.0000
0.0000 0.0000 10.2181
ATOMIC_POSITIONS angstrom
C 0.0000 0.0000 5.1612
Hf 1.7680 1.0208 6.2829
Hf 0.0000 2.0415 4.0157
I 1.7680 1.0208 1.8804
Br 0.0000 2.0415 8.2050
```

***

# 10
## Ag2BiPd (GGA-PBE)

Data for Ag2BiPd after structural relaxation. Values from VASP.

Computed properties:
- space-group type = F-43m (216)
- raw total energy (eV per cell) = -15.1

Cell and atoms, written as Quantum ESPRESSO input:
```
&SYSTEM
  ibrav = 0, nat = 4, ntyp = 3
/
ATOMIC_SPECIES
Ag 107.87 Ag.upf
Pd 106.42 Pd.upf
Bi 208.98 Bi.upf
CELL_PARAMETERS angstrom
0.0000 3.3883 3.3883
3.3883 0.0000 3.3883
3.3883 3.3883 0.0000
ATOMIC_POSITIONS angstrom
Ag 0.0000 0.0000 0.0000
Ag 5.0825 5.0825 5.0825
Pd 1.6942 1.6942 1.6942
Bi 3.3883 3.3883 3.3883
```

***

# 11
## HoLu2Al7Ag2 (GGA-PBE)

Data for HoLu2Al7Ag2 after structural relaxation. Values from VASP.

Computed properties:
- space-group type = R-3m (166)
- raw total energy (eV per cell) = -50.6

Cell and atoms, written as Quantum ESPRESSO input:
```
&SYSTEM
  ibrav = 0, nat = 12, ntyp = 4
/
ATOMIC_SPECIES
Al 26.98 Al.upf
Lu 174.97 Lu.upf
Ho 164.93 Ho.upf
Ag 107.87 Ag.upf
CELL_PARAMETERS angstrom
2.7483 1.5867 8.7289
-2.7483 1.5867 8.7289
0.0000 -3.1735 8.7289
ATOMIC_POSITIONS angstrom
Al 0.0000 0.0000 13.0934
Al 0.0000 1.6241 10.9411
Al -1.4065 0.8120 15.2456
Al 0.0000 -1.6241 15.2456
Al 1.4065 -0.8120 10.9411
Al -1.4065 -0.8120 10.9411
Al 1.4065 0.8120 15.2456
Lu 0.0000 0.0000 3.7348
Lu 0.0000 0.0000 22.4519
Ho 0.0000 0.0000 0.0000
Ag 0.0000 0.0000 17.4002
Ag 0.0000 0.0000 8.7865
```

***

# 12
## Ta2Re2Mo3 (GGA-PBE)

Data for Ta2Re2Mo3 after structural relaxation. Values from VASP.

Computed properties:
- space-group type = R3m (160)
- DFT formation energy (kJ/mol of formula units) = 175

Cell and atoms, written as Quantum ESPRESSO input:
```
&SYSTEM
  ibrav = 0, nat = 7, ntyp = 3
/
ATOMIC_SPECIES
Mo 95.94 Mo.upf
Ta 180.95 Ta.upf
Re 186.21 Re.upf
CELL_PARAMETERS angstrom
0.0000 -3.1252 3.1252
3.1252 0.0000 3.1252
-3.1067 3.1067 6.2319
ATOMIC_POSITIONS angstrom
Mo -1.5678 1.5678 7.8178
Mo -1.5591 1.5591 4.6839
Mo 1.5512 -1.5512 4.6988
Ta -0.0642 0.0642 3.1890
Ta 0.0695 -0.0695 9.3057
Re -3.1063 3.1063 6.2311
Re 0.0644 -0.0644 6.1856
```

***

# 13
## KTcB (GGA-PBE)

Data for KTcB after structural relaxation. Values from VASP.

Computed properties:
- ΔE to the lowest computed polymorph (meV/atom) = 0
- space-group type = F-43m (216)

Cell and atoms, written as Quantum ESPRESSO input:
```
&SYSTEM
  ibrav = 0, nat = 3, ntyp = 3
/
ATOMIC_SPECIES
B 10.81 B.upf
K 39.10 K.upf
Tc 98.00 Tc.upf
CELL_PARAMETERS angstrom
3.4951 -2.3022 -1.0444
0.4195 -4.0501 1.4237
-0.3361 -3.3008 -2.7565
ATOMIC_POSITIONS angstrom
B 0.0000 0.0000 0.0000
K 0.8946 -2.4133 -0.5943
Tc 2.6838 -7.2398 -1.7829
```